1.
Material: KZrHg
Method: DFT, PBE-GGA
State: relaxed Values from VASP.

- E_tot (eV/f.u.) = -8.78
- relative energy among the computed polymorphs (meV/atom) = 87
- spin magnetization (μB per atom) = 0.000
- space group = P3m1 (156)

```
&SYSTEM
  ibrav = 0, nat = 3, ntyp = 3
/
ATOMIC_SPECIES
K 39.10 K.upf
Zr 91.22 Zr.upf
Hg 200.59 Hg.upf
ATOMIC_POSITIONS crystal
K 0.000 0.000 0.000
Zr 0.333 0.667 0.385
Hg 0.667 0.333 0.662
CELL_PARAMETERS angstrom
3.288 0.000 0.000
-1.644 2.847 0.000
0.000 0.000 9.023
```

2.
Material: Ce4Ta6O19
Method: DFT, PBE-GGA
State: relaxed Values from VASP.

- energy relative to the elements, uncorrected (eV/atom) = -2.92
- E_tot (eV/f.u.) = -273.67
- spin magnetization (μB per atom) = 0.080
- space group = I23 (197)

```
&SYSTEM
  ibrav = 0, nat = 29, ntyp = 3
/
ATOMIC_SPECIES
Ce 140.12 Ce.upf
Ta 180.95 Ta.upf
O 16.00 O.upf
ATOMIC_POSITIONS crystal
Ce 0.000 0.000 0.691
Ce 0.000 0.691 0.000
Ce 0.309 0.309 0.309
Ce 0.691 0.000 0.000
Ta 0.153 0.653 0.500
Ta 0.347 0.500 0.847
Ta 0.500 0.153 0.653
Ta 0.500 0.847 0.347
Ta 0.653 0.500 0.153
Ta 0.847 0.347 0.500
O 0.000 0.000 0.000
O 0.000 0.328 0.328
O 0.000 0.672 0.672
O 0.028 0.356 0.755
O 0.245 0.601 0.273
O 0.273 0.245 0.601
O 0.328 0.000 0.328
O 0.328 0.328 0.000
O 0.328 0.972 0.727
O 0.356 0.755 0.028
O 0.399 0.644 0.672
O 0.601 0.273 0.245
O 0.644 0.672 0.399
O 0.672 0.000 0.672
O 0.672 0.399 0.644
O 0.672 0.672 0.000
O 0.727 0.328 0.972
O 0.755 0.028 0.356
O 0.972 0.727 0.328
CELL_PARAMETERS angstrom
-4.515 4.515 4.515
4.515 -4.515 4.515
4.515 4.515 -4.515
```

3.
Material: Tb2NdSi4
Method: DFT, PBE-GGA
State: relaxed Values from VASP.

- energy relative to the elements, uncorrected (eV/atom) = -0.76
- E_tot (eV/f.u.) = -41.07
- spin magnetization (μB per atom) = 0.000
- space group = Immm (71)

```
&SYSTEM
  ibrav = 0, nat = 7, ntyp = 3
/
ATOMIC_SPECIES
Tb 158.93 Tb.upf
Nd 144.24 Nd.upf
Si 28.09 Si.upf
ATOMIC_POSITIONS crystal
Tb 0.183 0.183 0.000
Tb 0.817 0.817 0.000
Nd 0.000 0.500 0.500
Si 0.350 0.350 0.000
Si 0.433 0.933 0.500
Si 0.567 0.067 0.500
Si 0.650 0.650 0.000
CELL_PARAMETERS angstrom
-1.951 2.161 8.816
1.951 -2.161 8.816
1.951 2.161 -8.816
```